1.
DFT (PBE) results for a relaxed structure of EuPuAgSn.

Lattice parameters (Å, degrees): 7.620 7.620 7.620 90.00 90.00 90.00
Positions (direct):
Eu 0.000 0.000 0.000
Eu 0.000 0.500 0.500
Eu 0.500 0.000 0.500
Eu 0.500 0.500 0.000
Pu 0.000 0.000 0.500
Pu 0.000 0.500 0.000
Pu 0.500 0.000 0.000
Pu 0.500 0.500 0.500
Ag 0.250 0.250 0.250
Ag 0.250 0.750 0.750
Ag 0.750 0.250 0.750
Ag 0.750 0.750 0.250
Sn 0.250 0.250 0.750
Sn 0.250 0.750 0.250
Sn 0.750 0.250 0.250
Sn 0.750 0.750 0.750

Calculated values
**Crystal system**: cubic
**Electronic total energy**: -8.1473 eV/atom
**Theoretical density**: 9.34 g/cm³

***

2.
DFT (PBE) results for a relaxed structure of EuPuZnAg.

Lattice parameters (Å, degrees): 7.419 7.419 7.419 90.00 90.00 90.00
Positions (direct):
Eu 0.000 0.000 0.000
Eu 0.000 0.500 0.500
Eu 0.500 0.000 0.500
Eu 0.500 0.500 0.000
Pu 0.000 0.000 0.500
Pu 0.000 0.500 0.000
Pu 0.500 0.000 0.000
Pu 0.500 0.500 0.500
Zn 0.250 0.250 0.250
Zn 0.250 0.750 0.750
Zn 0.750 0.250 0.750
Zn 0.750 0.750 0.250
Ag 0.250 0.250 0.750
Ag 0.250 0.750 0.250
Ag 0.750 0.250 0.250
Ag 0.750 0.750 0.750

Calculated values
**Crystal system**: cubic
**Electronic total energy**: -7.2167 eV/atom
**Theoretical density**: 9.26 g/cm³

***

3.
DFT (PBE) results for a relaxed structure of RbEu2Ag.

Lattice parameters (Å, degrees): 4.473 4.473 36.053 90.00 90.00 120.00
Positions (direct):
Rb 0.000 0.000 0.000
Rb 0.333 0.667 0.667
Rb 0.667 0.333 0.333
Eu 0.000 0.000 0.119
Eu 0.000 0.000 0.881
Eu 0.333 0.667 0.548
Eu 0.333 0.667 0.785
Eu 0.667 0.333 0.215
Eu 0.667 0.333 0.452
Ag 0.000 0.000 0.500
Ag 0.333 0.667 0.167
Ag 0.667 0.333 0.833

Calculated values
**Crystal system**: trigonal
**Electronic total energy**: -6.0555 eV/atom
**Theoretical density**: 3.97 g/cm³

***

4.
DFT (PBE) results for a relaxed structure of RbEu2Ag.

Lattice parameters (Å, degrees): 3.941 3.941 11.104 90.00 90.00 90.00
Positions (direct):
Rb 0.000 0.000 0.000
Eu 0.500 0.500 0.338
Eu 0.500 0.500 0.662
Ag 0.000 0.000 0.500

Calculated values
**Crystal system**: tetragonal
**Electronic total energy**: -6.1219 eV/atom
**Theoretical density**: 4.79 g/cm³

***

5.
DFT (PBE) results for a relaxed structure of EuAg4Rh.

Lattice parameters (Å, degrees): 5.528 5.528 5.528 60.00 60.00 60.00
Positions (direct):
Eu 0.000 0.000 0.000
Ag 0.127 0.624 0.624
Ag 0.624 0.127 0.624
Ag 0.624 0.624 0.127
Ag 0.624 0.624 0.624
Rh 0.250 0.250 0.250

Calculated values
**Crystal system**: cubic
**Electronic total energy**: -4.8409 eV/atom
**Theoretical density**: 9.54 g/cm³

***

6.
DFT (PBE) results for a relaxed structure of EuAgRh4.

Lattice parameters (Å, degrees): 5.302 5.302 5.302 60.00 60.00 60.00
Positions (direct):
Eu 0.000 0.000 0.000
Ag 0.250 0.250 0.250
Rh 0.126 0.625 0.625
Rh 0.625 0.126 0.625
Rh 0.625 0.625 0.126
Rh 0.625 0.625 0.625

Calculated values
**Crystal system**: cubic
**Electronic total energy**: -7.1870 eV/atom
**Theoretical density**: 10.58 g/cm³

***

7.
DFT (PBE) results for a relaxed structure of SmEuAgRh.

Lattice parameters (Å, degrees): 7.227 7.227 7.227 90.00 90.00 90.00
Positions (direct):
Sm 0.000 0.000 0.000
Sm 0.000 0.500 0.500
Sm 0.500 0.000 0.500
Sm 0.500 0.500 0.000
Eu 0.000 0.000 0.500
Eu 0.000 0.500 0.000
Eu 0.500 0.000 0.000
Eu 0.500 0.500 0.500
Ag 0.250 0.250 0.250
Ag 0.250 0.750 0.750
Ag 0.750 0.250 0.750
Ag 0.750 0.750 0.250
Rh 0.250 0.250 0.750
Rh 0.250 0.750 0.250
Rh 0.750 0.250 0.250
Rh 0.750 0.750 0.750

Calculated values
**Crystal system**: cubic
**Electronic total energy**: -6.7035 eV/atom
**Theoretical density**: 9.03 g/cm³

***

8.
DFT (PBE) results for a relaxed structure of SrEuAgRh.

Lattice parameters (Å, degrees): 7.410 7.410 7.410 90.00 90.00 90.00
Positions (direct):
Sr 0.000 0.000 0.000
Sr 0.000 0.500 0.500
Sr 0.500 0.000 0.500
Sr 0.500 0.500 0.000
Eu 0.000 0.000 0.500
Eu 0.000 0.500 0.000
Eu 0.500 0.000 0.000
Eu 0.500 0.500 0.500
Ag 0.250 0.250 0.750
Ag 0.250 0.750 0.250
Ag 0.750 0.250 0.250
Ag 0.750 0.750 0.750
Rh 0.250 0.250 0.250
Rh 0.250 0.750 0.750
Rh 0.750 0.250 0.750
Rh 0.750 0.750 0.250

Calculated values
**Crystal system**: cubic
**Electronic total energy**: -5.7790 eV/atom
**Theoretical density**: 7.35 g/cm³

***

9.
DFT (PBE) results for a relaxed structure of TbEuAgRh.

Lattice parameters (Å, degrees): 7.165 7.165 7.165 90.00 90.00 90.00
Positions (direct):
Tb 0.000 0.000 0.000
Tb 0.000 0.500 0.500
Tb 0.500 0.000 0.500
Tb 0.500 0.500 0.000
Eu 0.000 0.000 0.500
Eu 0.000 0.500 0.000
Eu 0.500 0.000 0.000
Eu 0.500 0.500 0.500
Ag 0.250 0.250 0.250
Ag 0.250 0.750 0.750
Ag 0.750 0.250 0.750
Ag 0.750 0.750 0.250
Rh 0.250 0.250 0.750
Rh 0.250 0.750 0.250
Rh 0.750 0.250 0.250
Rh 0.750 0.750 0.750

Calculated values
**Crystal system**: cubic
**Electronic total energy**: -6.7001 eV/atom
**Theoretical density**: 9.42 g/cm³

***

10.
DFT (PBE) results for a relaxed structure of EuThAgRh.

Lattice parameters (Å, degrees): 7.278 7.278 7.278 90.00 90.00 90.00
Positions (direct):
Eu 0.000 0.000 0.000
Eu 0.000 0.500 0.500
Eu 0.500 0.000 0.500
Eu 0.500 0.500 0.000
Th 0.000 0.000 0.500
Th 0.000 0.500 0.000
Th 0.500 0.000 0.000
Th 0.500 0.500 0.500
Ag 0.250 0.250 0.250
Ag 0.250 0.750 0.750
Ag 0.750 0.250 0.750
Ag 0.750 0.750 0.250
Rh 0.250 0.250 0.750
Rh 0.250 0.750 0.250
Rh 0.750 0.250 0.250
Rh 0.750 0.750 0.750

Calculated values
**Crystal system**: cubic
**Electronic total energy**: -7.3124 eV/atom
**Theoretical density**: 10.25 g/cm³

***

11.
DFT (PBE) results for a relaxed structure of EuTlAgRh.

Lattice parameters (Å, degrees): 7.022 7.022 7.022 90.00 90.00 90.00
Positions (direct):
Eu 0.000 0.000 0.000
Eu 0.000 0.500 0.500
Eu 0.500 0.000 0.500
Eu 0.500 0.500 0.000
Tl 0.000 0.000 0.500
Tl 0.000 0.500 0.000
Tl 0.500 0.000 0.000
Tl 0.500 0.500 0.500
Ag 0.250 0.250 0.750
Ag 0.250 0.750 0.250
Ag 0.750 0.250 0.250
Ag 0.750 0.750 0.750
Rh 0.250 0.250 0.250
Rh 0.250 0.750 0.750
Rh 0.750 0.250 0.750
Rh 0.750 0.750 0.250

Calculated values
**Crystal system**: cubic
**Electronic total energy**: -5.8465 eV/atom
**Theoretical density**: 10.88 g/cm³

***

12.
DFT (PBE) results for a relaxed structure of EuTmAgRh.

Lattice parameters (Å, degrees): 7.103 7.103 7.103 90.00 90.00 90.00
Positions (direct):
Eu 0.000 0.000 0.000
Eu 0.000 0.500 0.500
Eu 0.500 0.000 0.500
Eu 0.500 0.500 0.000
Tm 0.000 0.000 0.500
Tm 0.000 0.500 0.000
Tm 0.500 0.000 0.000
Tm 0.500 0.500 0.500
Ag 0.250 0.250 0.750
Ag 0.250 0.750 0.250
Ag 0.750 0.250 0.250
Ag 0.750 0.750 0.750
Rh 0.250 0.250 0.250
Rh 0.250 0.750 0.750
Rh 0.750 0.250 0.750
Rh 0.750 0.750 0.250

Calculated values
**Crystal system**: cubic
**Electronic total energy**: -6.6701 eV/atom
**Theoretical density**: 9.86 g/cm³